1.
Material: TaCr3
Method: DFT, PBE
State: optimized geometry

Geometry as POSCAR:
```
TaCr3
1.0
-4.007 2.218 -1.579
1.904 -3.657 -2.544
-2.463 -5.461 6.012
Ta Cr
3 9
direct
0.289 0.144 0.433
0.711 0.856 0.567
0.000 0.000 0.000
0.667 0.080 0.253
0.173 0.586 0.253
0.667 0.586 0.253
0.000 0.500 0.500
0.335 0.667 0.002
0.665 0.333 0.998
0.827 0.414 0.747
0.333 0.920 0.747
0.333 0.414 0.747
```

Calculated values
N(E_F) = 0.794 states/eV/atom
E_form = 29 meV per atom



2.
Material: Ta4Cr3
Method: DFT, PBE
State: optimized geometry

Geometry as POSCAR:
```
Ta4Cr3
1.0
-9.978 0.668 5.632
-10.421 3.941 2.753
9.296 -3.690 -5.629
Ta Cr
4 3
direct
0.849 0.849 0.000
0.151 0.151 0.000
0.568 0.568 0.000
0.432 0.432 0.000
0.000 0.000 0.000
0.720 0.720 0.000
0.280 0.280 0.000
```

Calculated values
Distance to the lowest polymorph of the same formula = 86 meV/atom
N(E_F) = 1.200 states/eV/atom
E_form = 33 meV per atom



3.
Material: TaCr2
Method: DFT, PBE
State: optimized geometry

Geometry as POSCAR:
```
TaCr2
1.0
5.855 0.000 0.000
0.000 5.855 0.000
0.000 0.000 5.855
Cr Ta
8 4
direct
0.108 0.608 0.892
0.108 0.892 0.392
0.392 0.108 0.892
0.392 0.392 0.392
0.608 0.608 0.608
0.608 0.892 0.108
0.892 0.108 0.608
0.892 0.392 0.108
0.000 0.000 0.000
0.000 0.500 0.500
0.500 0.000 0.500
0.500 0.500 0.000
```

Calculated values
Distance to the lowest polymorph of the same formula = 1656 meV/atom
N(E_F) = 1.485 states/eV/atom
E_form = 1527 meV per atom



4.
Material: TaCr
Method: DFT, PBE
State: optimized geometry

Geometry as POSCAR:
```
TaCr
1.0
7.185 0.000 0.000
-3.592 6.222 0.000
0.000 0.000 4.309
Ta Cr
6 6
direct
0.844 0.174 0.250
0.669 0.844 0.750
0.826 0.669 0.250
0.156 0.826 0.750
0.331 0.156 0.250
0.174 0.331 0.750
0.459 0.876 0.250
0.584 0.459 0.750
0.124 0.584 0.250
0.541 0.124 0.750
0.416 0.541 0.250
0.876 0.416 0.750
```

Calculated values
N(E_F) = 1.061 states/eV/atom
E_form = 471 meV per atom



Question: Which value of E_form does entry 2 give?
Answer: 33 meV per atom